[1]
Compound: TcNiGe3
Source: the Alexandria database
Functional: GGA-PBE
Structure: relaxed

It has space group Pm-3m (No. 221), with a = 4.5367 Å, b = 4.5367 Å, c = 4.5367 Å, α = 90.00°, β = 90.00° and γ = 90.00°. Symmetry generates all atoms from Tc at (0.0000, 0.0000, 0.0000), Ni at (0.5000, 0.5000, 0.5000) and Ge at (0.0000, 0.5000, 0.5000).

As for the relative energy among the computed polymorphs: 419 kJ/mol of formula units. Its crystal system is cubic.

[2]
Compound: Tc2NiGe4
Source: the Alexandria database
Functional: GGA-PBE
Structure: relaxed

It has space group C2/m (No. 12), with a = 13.3446 Å, b = 3.2388 Å, c = 5.5899 Å, α = 90.00°, β = 114.26° and γ = 90.00°. Symmetry generates all atoms from Tc at (0.2488, 0.0000, 0.2577), Ni at (0.0000, 0.0000, 0.0000), Ge at (0.1029, 0.0000, 0.4613) and Ge at (0.1117, 0.5000, 0.9266).

As for the relative energy among the computed polymorphs: 0 kJ/mol of formula units. Its crystal system is monoclinic.

Number 1: formation enthalpy at 0 K 0.767 eV/atom. Number 2: formation enthalpy at 0 K -0.117 eV/atom.